Record 1
InCu2Au: PBEsol geometry, meta-GGA SCAN.

## Properties
DOS at the Fermi energy (states/eV/f.u.): 1.02
Calculated total energy (eV/cell): -133.044
Formation enthalpy at 0 K (eV per atom): -0.025

a b c (Å): 3.1693 3.3077 5.7806
angles (deg): 90.00 90.00 90.00
Space group Pmmm (No. 47)
Unique sites:
1 In 0.0000 0.0000 0.0000 [1 per cell]
2 Cu 0.5000 0.5000 0.2630 [2 per cell]
3 Au 0.0000 0.0000 0.5000 [1 per cell]

---

Record 2
InCuAu2: PBEsol geometry, meta-GGA SCAN.

## Properties
DOS at the Fermi energy (states/eV/f.u.): 1.27
Calculated total energy (eV/cell): -187.221
Formation enthalpy at 0 K (eV per atom): -0.080

a b c (Å): 3.4113 3.4113 5.7747
angles (deg): 90.00 90.00 90.00
Space group P4mm (No. 99)
Unique sites:
1 In 0.0000 0.0000 0.0000 [1 per cell]
2 Cu 0.5000 0.5000 0.7355 [1 per cell]
3 Au 0.0000 0.0000 0.5292 [1 per cell]
4 Au 0.5000 0.5000 0.2551 [1 per cell]

---

Record 3
InCu2Au: PBEsol geometry, meta-GGA SCAN.

## Properties
DOS at the Fermi energy (states/eV/f.u.): 1.02
Calculated total energy (eV/cell): -133.205
Formation enthalpy at 0 K (eV per atom): -0.066

a b c (Å): 4.0969 4.0969 3.5756
angles (deg): 90.00 90.00 90.00
Space group P4/mmm (No. 123)
Unique sites:
1 In 0.0000 0.0000 0.0000 [1 per cell]
2 Cu 0.0000 0.5000 0.5000 [2 per cell]
3 Au 0.5000 0.5000 0.0000 [1 per cell]

---

Record 4
CuIrAu2: PBEsol geometry, meta-GGA SCAN.

## Properties
DOS at the Fermi energy (states/eV/f.u.): 3.00
Calculated total energy (eV/cell): -446.793
Formation enthalpy at 0 K (eV per atom): 0.304

a b c (Å): 9.1468 2.7347 4.8764
angles (deg): 90.00 100.41 90.00
Space group C2/m (No. 12)
Unique sites:
1 Cu 0.0000 0.0000 0.0000 [2 per cell]
2 Ir 0.0000 0.5000 0.5000 [2 per cell]
3 Au 0.2485 0.5000 0.2469 [4 per cell]

---

Record 5
CuIrAu2: PBEsol geometry, meta-GGA SCAN.

## Properties
DOS at the Fermi energy (states/eV/f.u.): 2.80
Calculated total energy (eV/cell): -447.652
Formation enthalpy at 0 K (eV per atom): 0.197

a b c (Å): 2.7549 4.7065 9.3571
angles (deg): 90.00 90.00 90.00
Space group Cmm2 (No. 35)
Unique sites:
1 Cu 0.0000 0.0000 0.0000 [2 per cell]
2 Ir 0.0000 0.5000 0.7743 [2 per cell]
3 Au 0.0000 0.0000 0.5109 [2 per cell]
4 Au 0.0000 0.5000 0.2380 [2 per cell]

---

Record 6
KCu2Au: PBEsol geometry, meta-GGA SCAN.

## Properties
DOS at the Fermi energy (states/eV/f.u.): 1.11
Calculated total energy (eV/cell): -106.091
Formation enthalpy at 0 K (eV per atom): 0.448

a b c (Å): 4.9160 4.9160 2.7897
angles (deg): 90.00 90.00 90.00
Space group P4/mmm (No. 123)
Unique sites:
1 K 0.0000 0.0000 0.0000 [1 per cell]
2 Cu 0.0000 0.5000 0.5000 [2 per cell]
3 Au 0.5000 0.5000 0.0000 [1 per cell]